{"formula": "Ni4SbPb", "functional": "PBE", "state": "relaxed", "cell": [[0.000, 3.566, 3.566], [3.566, 0.000, 3.566], [3.566, 3.566, 0.000]], "species": ["Ni", "Ni", "Ni", "Ni", "Sb", "Pb"], "fractional_positions": [[0.125, 0.125, 0.125], [0.125, 0.125, 0.624], [0.125, 0.624, 0.125], [0.624, 0.125, 0.125], [0.500, 0.500, 0.500], [0.750, 0.750, 0.750]], "mass_density_g_cm3": 10.32, "dft_energy_ev_per_atom": -4.9935}

=====

{"formula": "NiSbPb2", "functional": "PBE", "state": "relaxed", "cell": [[4.685, 0.000, 0.000], [0.000, 4.685, 0.000], [0.000, 0.000, 4.584]], "species": ["Ni", "Sb", "Pb", "Pb"], "fractional_positions": [[0.000, 0.000, 0.000], [0.500, 0.500, 0.000], [0.000, 0.500, 0.500], [0.500, 0.000, 0.500]], "mass_density_g_cm3": 9.82, "dft_energy_ev_per_atom": -3.9724}

=====

{"formula": "NiSbPb2", "functional": "PBE", "state": "relaxed", "cell": [[3.259, 0.000, 0.000], [0.000, 3.259, 0.000], [0.000, 0.000, 9.494]], "species": ["Ni", "Sb", "Pb", "Pb"], "fractional_positions": [[0.000, 0.000, 0.000], [0.500, 0.500, 0.856], [0.000, 0.000, 0.536], [0.500, 0.500, 0.212]], "mass_density_g_cm3": 9.79, "dft_energy_ev_per_atom": -4.2681}